(1)
Here is Y2BeGeN after structural relaxation from Alexandria. Energies are from PBE.

Cell and atoms, written as POSCAR:
```
Y2BeGeN
1.0
5.032 0.000 0.000
0.000 5.032 0.000
0.000 0.000 3.333
N Y Be Ge
1 2 1 1
direct
0.000 0.000 0.000
0.500 0.000 0.000
0.000 0.500 0.000
0.000 0.000 0.500
0.500 0.500 0.500
```

The calculation puts the formation energy without anion corrections at -0.87 eV/atom. Its space group is No. 123. The crystal system is tetragonal.

(2)
Here is Ac3NpS6 after structural relaxation from Alexandria. Energies are from PBE.

Cell and atoms, written as POSCAR:
```
Ac3NpS6
1.0
-3.697 -3.823 -6.777
7.906 -1.500 -3.075
0.029 -7.337 4.514
Ac S Np
6 12 2
direct
0.252 0.567 0.075
0.748 0.433 0.925
0.567 0.075 0.252
0.925 0.748 0.433
0.075 0.252 0.567
0.433 0.925 0.748
0.540 0.411 0.192
0.589 0.808 0.460
0.914 0.071 0.307
0.460 0.589 0.808
0.086 0.929 0.693
0.307 0.914 0.071
0.192 0.540 0.411
0.071 0.307 0.914
0.808 0.460 0.589
0.411 0.192 0.540
0.693 0.086 0.929
0.929 0.693 0.086
0.500 0.500 0.500
0.000 0.000 0.000
```

The calculation puts the formation energy without anion corrections at -1.93 eV/atom. As for the relative energy among the computed polymorphs: 0.0 kJ per mole of atoms. Its space group is No. 148. The crystal system is trigonal.

(3)
Here is LiBPd4 after structural relaxation from Alexandria. Energies are from PBE.

Cell and atoms, written as POSCAR:
```
LiBPd4
1.0
-6.655 -1.185 -0.815
3.474 -2.785 3.139
-3.393 5.736 1.593
Pd Li B
8 2 2
direct
0.974 0.720 0.475
0.523 0.863 0.642
0.861 0.137 0.977
0.139 0.863 0.023
0.650 0.548 0.150
0.477 0.137 0.358
0.350 0.452 0.850
0.026 0.280 0.525
0.748 0.498 0.750
0.252 0.502 0.250
0.774 0.081 0.271
0.226 0.919 0.729
```

As for the relative energy among the computed polymorphs: 0.0 kJ per mole of atoms. Its space group is No. 2. The crystal system is triclinic.